A plane-wave DFT calculation with PBE was carried out for MnP3 after structural relaxation.

Cell: 6.185 6.185 6.185 Å, 154.69 138.15 49.54°
Each line ends with the local moment (μB).
Element x y z (fractional)
Mn 0.944 0.000 0.944  0.63
P 0.318 0.640 0.678  -0.01
P 0.533 0.500 0.033  -0.01
P 0.038 0.360 0.678  -0.01

Computed properties:
Symmetry: Imm2
Final energy (eV for the cell shown): -25.42
ΔH_f (0 K) (eV/atom): -0.005
Spin magnetization (μB/cell): 0.64